# 1
A crystal of Tc2Rh relaxed with PBEsol. Source: Alexandria via LeMat-Bulk, functional meta-GGA SCAN.

It has space group Cmcm (No. 63), with a = 2.708 Å, b = 14.172 Å, c = 4.289 Å, α = 90.00°, β = 90.00° and γ = 90.00°. The distinct sites, in fractional coordinates, are Tc at (0.000, 0.054, 0.250), Tc at (0.000, 0.388, 0.250) and Rh at (0.000, 0.277, 0.750).

The energy above the most stable polymorph in this dataset comes out at 27.3 meV/atom. The calculation puts the calculated total energy at -34.7481 eV per atom. The formation energy comes out at -0.118 eV per atom.

---

# 2
A crystal of ThTc2 relaxed with PBEsol. Source: Alexandria via LeMat-Bulk, functional meta-GGA SCAN.

It has space group P6_3/mmc (No. 194), with a = 5.1971 Å, b = 5.1971 Å, c = 9.6100 Å, α = 90.00°, β = 90.00° and γ = 120.00°. The distinct sites, in fractional coordinates, are Th at (0.3333, 0.6667, 0.0629), Tc at (0.0000, 0.0000, 0.0000) and Tc at (0.1694, 0.3388, 0.7500).

The calculation puts the calculated total energy at -55.4967 eV per atom. The formation energy comes out at -0.150 eV per atom.

---

# 3
A crystal of Ni9S8 relaxed with PBEsol. Source: Alexandria via LeMat-Bulk, functional meta-GGA SCAN.

It has space group C222 (No. 21), with a = 9.105 Å, b = 10.987 Å, c = 9.226 Å, α = 90.00°, β = 90.00° and γ = 90.00°. The distinct sites, in fractional coordinates, are Ni at (0.000, 0.000, 0.000), Ni at (0.000, 0.000, 0.285), Ni at (0.000, 0.236, 0.000), Ni at (0.000, 0.500, 0.500), Ni at (0.124, 0.416, 0.125), Ni at (0.128, 0.185, 0.377), Ni at (0.223, 0.000, 0.500), Ni at (0.250, 0.250, 0.770), S at (0.118, 0.152, 0.619), S at (0.120, 0.378, 0.885), S at (0.131, 0.384, 0.363) and S at (0.135, 0.115, 0.139).

The calculation puts the calculated total energy at -13.5259 eV per atom. Its uncorrected formation energy is -0.433 eV per atom.

---

# 4
A crystal of BaTlHg2 relaxed with PBEsol. Source: Alexandria via LeMat-Bulk, functional meta-GGA SCAN.

It has space group P2/m (No. 10), with a = 4.025 Å, b = 4.029 Å, c = 7.267 Å, α = 90.00°, β = 90.30° and γ = 90.00°. The distinct sites, in fractional coordinates, are Ba at (0.000, 0.000, 0.000), Tl at (0.000, 0.000, 0.500) and Hg at (0.498, 0.500, 0.724).

The energy above the most stable polymorph in this dataset comes out at 79.3 meV/atom. The calculation puts the calculated total energy at -62.4787 eV per atom. The formation energy comes out at -0.419 eV per atom.

---

# 5
A crystal of K2MnPb relaxed with PBEsol. Source: Alexandria via LeMat-Bulk, functional meta-GGA SCAN.

It has space group P4/mmm (No. 123), with a = 3.380 Å, b = 3.380 Å, c = 11.344 Å, α = 90.00°, β = 90.00° and γ = 90.00°. The distinct sites, in fractional coordinates, are K at (0.000, 0.000, 0.250), Mn at (0.500, 0.500, 0.000) and Pb at (0.500, 0.500, 0.500).

The calculation puts the calculated total energy at -27.3500 eV per atom. The formation energy comes out at 0.323 eV per atom.

---

# 6
A crystal of LaScOs2 relaxed with PBEsol. Source: Alexandria via LeMat-Bulk, functional meta-GGA SCAN.

It has space group Imm2 (No. 44), with a = 3.119 Å, b = 4.768 Å, c = 10.346 Å, α = 90.00°, β = 90.00° and γ = 90.00°. The distinct sites, in fractional coordinates, are La at (0.000, 0.000, 0.000), Sc at (0.000, 0.500, 0.220), Os at (0.000, 0.000, 0.459) and Os at (0.000, 0.500, 0.759).

The energy above the most stable polymorph in this dataset comes out at 0.0 meV/atom. The calculation puts the calculated total energy at -50.2451 eV per atom. The formation energy comes out at 0.030 eV per atom.